Cs3WF7, optimized geometry, DFT GGA+U; space-group type = P4/mbm (127); calculated total energy = -108.1 eV/cell
1.0
8.767 0.000 0.000
0.000 8.767 0.000
0.000 0.000 6.463
Cs W F
6 2 14
Direct
0.000 0.000 0.000
0.194 0.306 0.500
0.306 0.806 0.500
0.500 0.500 0.000
0.694 0.194 0.500
0.806 0.694 0.500
0.000 0.500 0.000
0.500 0.000 0.000
0.000 0.000 0.500
0.115 0.615 0.222
0.115 0.615 0.778
0.161 0.339 0.000
0.339 0.839 0.000
0.385 0.115 0.222
0.385 0.115 0.778
0.500 0.500 0.500
0.615 0.885 0.222
0.615 0.885 0.778
0.661 0.161 0.000
0.839 0.661 0.000
0.885 0.385 0.222
0.885 0.385 0.778